VASP calculation (GGA-PBE) on crystalline CsAlAs2Se at its relaxed geometry.

POSCAR file:
```
CsAlAs2Se
1.0
-3.080 -0.338 4.008
2.413 -4.194 1.500
3.383 2.965 2.849
Se As Cs Al
1 2 1 1
Cartesian
1.691 1.483 1.424
1.206 -2.097 0.750
-1.540 -0.169 2.004
1.358 -0.783 4.179
0.000 0.000 0.000
```

Computed properties:
Energy (eV/atom): -3.503
Crystal system: tetragonal
Formation energy from raw total energies (eV/atom): -0.027
Density (kg/m3): 4724
Space group: P4/mmm (123)